A relaxed structure of Y8Mg. Source: Alexandria, functional PBE.

DOS at the Fermi energy = 1.724 states/eV/atom
energy of formation = 0.028 eV per atom
distance to the lowest polymorph of the same formula = 0.000 eV per formula unit

```
data_Y8Mg
_symmetry_space_group_name_H-M 'P 1'
_symmetry_Int_Tables_number 1
_symmetry_space_group_name_Hall 'P 1'
_cell_length_a 7.911
_cell_length_b 7.911
_cell_length_c 7.911
_cell_angle_alpha 95.83
_cell_angle_beta 95.83
_cell_angle_gamma 142.84
loop_
_atom_site_label
_atom_site_fract_x
_atom_site_fract_y
_atom_site_fract_z
Y1 0.000 0.333 0.333
Y2 0.000 0.667 0.667
Y3 0.333 0.000 0.333
Y4 0.334 0.334 0.669
Y5 0.334 0.666 0.000
Y6 0.666 0.334 0.000
Y7 0.666 0.666 0.331
Y8 0.667 0.000 0.667
Mg1 0.000 0.000 0.000
```

=====

A relaxed structure of YMg. Source: Alexandria, functional PBE.

DOS at the Fermi energy = 1.072 states/eV/atom
energy of formation = 0.149 eV per atom

```
data_YMg
_symmetry_space_group_name_H-M 'P 1'
_symmetry_Int_Tables_number 1
_symmetry_space_group_name_Hall 'P 1'
_cell_length_a 7.665
_cell_length_b 7.310
_cell_length_c 6.298
_cell_angle_alpha 68.10
_cell_angle_beta 62.23
_cell_angle_gamma 49.67
loop_
_atom_site_label
_atom_site_fract_x
_atom_site_fract_y
_atom_site_fract_z
Y1 0.060 0.690 0.060
Y2 0.310 0.940 0.310
Y3 0.690 0.060 0.690
Y4 0.940 0.310 0.940
Mg1 0.203 0.547 0.547
Mg2 0.453 0.797 0.797
Mg3 0.547 0.203 0.203
Mg4 0.797 0.453 0.453
```

=====

A relaxed structure of Y3Mg. Source: Alexandria, functional PBE.

DOS at the Fermi energy = 1.542 states/eV/atom
energy of formation = 0.008 eV per atom

```
data_Y3Mg
_symmetry_space_group_name_H-M 'P 1'
_symmetry_Int_Tables_number 1
_symmetry_space_group_name_Hall 'P 1'
_cell_length_a 5.562
_cell_length_b 7.064
_cell_length_c 6.120
_cell_angle_alpha 90.00
_cell_angle_beta 90.00
_cell_angle_gamma 90.00
loop_
_atom_site_label
_atom_site_fract_x
_atom_site_fract_y
_atom_site_fract_z
Y1 0.250 0.005 0.167
Y2 0.250 0.250 0.647
Y3 0.250 0.495 0.167
Y4 0.750 0.505 0.833
Y5 0.750 0.750 0.353
Y6 0.750 0.995 0.833
Mg1 0.250 0.750 0.670
Mg2 0.750 0.250 0.330
```